A plane-wave DFT calculation with PBE-GGA was carried out for an optimized crystal structure of TlCdI2F.

The structure in CIF format:
```
data_TlCdI2F
_chemical_formula_sum 'Tl1 Cd1 I2 F1'
_space_group_name_H-M_alt 'P 4/m m m'
_space_group_IT_number 123
_space_group_name_Hall '-P 4 2'
_cell_length_a 6.046
_cell_length_b 6.046
_cell_length_c 4.402
_cell_angle_alpha 90.00
_cell_angle_beta 90.00
_cell_angle_gamma 90.00
loop_
_atom_site_label
_atom_site_fract_x
_atom_site_fract_y
_atom_site_fract_z
_atom_site_occupancy
Tl1 0.000 0.000 0.000 1
Cd1 0.500 0.500 0.500 1
I1 0.000 0.500 0.500 1
F1 0.500 0.500 0.000 1
```

Summary:
Its crystal system is tetragonal. The energy relative to the elements, uncorrected comes out at -492 kJ/mol of formula units. The value obtained for the total energy is -0.0981 Ha/atom.